1.
A plane-wave DFT calculation with GGA-PBE was carried out for crystalline In2CoNiHg at its relaxed geometry.

Lattice parameters (Å, degrees): 5.4233 4.8071 5.4233 90.00 90.00 90.00
With the nearest neighbours (Å) after each atom.
Positions (direct):
Ni  0.0000  0.5000  0.0000  2 Hg 2.40
Co  0.5000  0.5000  0.5000  8 In 3.62, 4 Ni 3.83
Hg  0.0000  0.0000  0.0000  2 Ni 2.40
In  0.0000  0.0000  0.5000  2 Hg 2.71
In  0.5000  0.0000  0.0000  2 Hg 2.71

Summary:
Space-group type ... No. 123
ΔE_f ... 1.25 eV/atom
Total moment ... 2.3 μB per cell



2.
A plane-wave DFT calculation with GGA-PBE was carried out for crystalline In2CoHgPb at its relaxed geometry.

Lattice parameters (Å, degrees): 5.0368 5.0368 5.0222 90.00 90.00 90.00
With the nearest neighbours (Å) after each atom.
Positions (direct):
Pb  0.0000  0.0000  0.5000  2 Co 2.51
Co  0.0000  0.0000  0.0000  2 Pb 2.51, 4 In 2.52
Hg  0.5000  0.5000  0.5000  8 In 3.56, 4 Pb 3.56
In  0.0000  0.5000  0.0000  2 Co 2.52
In  0.5000  0.0000  0.0000  2 Co 2.52

Summary:
Space-group type ... No. 123
ΔE_f ... 0.05 eV/atom
Total moment ... 0.0 μB per cell



3.
A plane-wave DFT calculation with GGA-PBE was carried out for crystalline Pm3In3CoHg2 at its relaxed geometry.

Lattice parameters (Å, degrees): 4.2064 7.7897 7.7897 120.00 90.00 90.00
With the nearest neighbours (Å) after each atom.
Positions (direct):
Pm  0.0000  0.0000  0.3876  1 Co 3.02, 4 Hg 3.20, 4 In 3.37
Pm  0.0000  0.6124  0.6124  1 Co 3.02, 4 Hg 3.20, 4 In 3.37
Pm  0.0000  0.3876  0.0000  1 Co 3.02, 4 Hg 3.20, 4 In 3.37
In  0.5000  0.7654  0.0000  2 Co 2.79, 2 Hg 3.05
In  0.5000  0.2346  0.2346  2 Co 2.79, 2 Hg 3.05
In  0.5000  0.0000  0.7654  2 Co 2.79, 2 Hg 3.05
Co  0.0000  0.0000  0.0000  6 In 2.79, 3 Pm 3.02
Hg  0.5000  0.3333  0.6667  3 In 3.05, 6 Pm 3.20
Hg  0.5000  0.6667  0.3333  3 In 3.05, 6 Pm 3.20

Summary:
Space-group type ... No. 189
ΔE_f ... -0.42 eV/atom
Total moment ... 0.0 μB per cell